1.
# SrZrPb2

A geometry-optimized SrZrPb2 structure (PBEsol, Alexandria via LeMat-Bulk).

Summary:
total DFT energy (no corrections): -17.8 eV/cell
crystal system: cubic
ΔH_f (0 K): 282 meV/atom

Cell lengths 5.4581, 5.4581, 5.4581 Å; angles 60.00, 60.00, 60.00 degrees
Closest atoms and distances in Å follow each position.
Positions (direct):
Sr  0.0000  0.0000  0.0000  4 Zr 3.34, 4 Pb 3.34
Zr  0.7500  0.7500  0.7500  4 Pb 3.34, 4 Sr 3.34
Pb  0.2500  0.2500  0.2500  4 Pb 3.34, 4 Sr 3.34
Pb  0.5000  0.5000  0.5000  4 Zr 3.34, 4 Pb 3.34

=====

2.
# La2InRe

A geometry-optimized La2InRe structure (PBEsol, Alexandria via LeMat-Bulk).

Summary:
total DFT energy (no corrections): -26.8 eV/cell
crystal system: tetragonal
ΔH_f (0 K): 52 meV/atom

Cell lengths 3.3854, 3.3854, 8.9877 Å; angles 90.00, 90.00, 90.00 degrees
Closest atoms and distances in Å follow each position.
Positions (direct):
La  0.0000  0.0000  0.2022  4 Re 3.01
La  0.0000  0.0000  0.7978  4 Re 3.01
In  0.5000  0.5000  0.5000  4 In 3.39, 8 La 3.59
Re  0.5000  0.5000  0.0000  8 La 3.01

=====

3.
# Cs3KBr

A geometry-optimized Cs3KBr structure (PBEsol, Alexandria via LeMat-Bulk).

Summary:
total DFT energy (no corrections): -9.2 eV/cell
crystal system: cubic

Cell lengths 7.1845, 7.1845, 7.1845 Å; angles 90.00, 90.00, 90.00 degrees
Closest atoms and distances in Å follow each position.
Positions (direct):
Cs  0.0000  0.0000  0.5000  2 Br 3.59
Cs  0.0000  0.5000  0.0000  2 Br 3.59
Cs  0.5000  0.0000  0.0000  2 Br 3.59
K  0.5000  0.5000  0.5000  12 Cs 5.08
Br  0.0000  0.0000  0.0000  6 Cs 3.59

=====

4.
# La2InTe

A geometry-optimized La2InTe structure (PBEsol, Alexandria via LeMat-Bulk).

Summary:
excess energy over the best structure of this formula in the dataset: 0 meV per atom
total DFT energy (no corrections): -21.0 eV/cell
crystal system: orthorhombic

Cell lengths 4.2761, 4.7978, 6.4331 Å; angles 90.00, 90.00, 90.00 degrees
Closest atoms and distances in Å follow each position.
Positions (direct):
La  0.0000  0.0000  0.0000  4 Te 3.21, 2 In 3.22
La  0.5000  0.5000  0.5000  4 In 3.21, 2 Te 3.22
In  0.0000  0.0000  0.5000  6 La 3.21-3.22
Te  0.5000  0.5000  0.0000  6 La 3.21-3.22

=====

5.
# K2OsRu

A geometry-optimized K2OsRu structure (PBEsol, Alexandria via LeMat-Bulk).

Summary:
excess energy over the best structure of this formula in the dataset: 628 meV per atom
total DFT energy (no corrections): -19.1 eV/cell
crystal system: tetragonal
ΔH_f (0 K): 1380 meV/atom

Cell lengths 3.7008, 3.7008, 5.5700 Å; angles 90.00, 90.00, 90.00 degrees
Closest atoms and distances in Å follow each position.
Positions (direct):
K  0.0000  0.5000  0.0000  4 K 2.62
K  0.5000  0.0000  0.0000  4 K 2.62
Os  0.0000  0.0000  0.5000  4 Ru 2.62
Ru  0.5000  0.5000  0.5000  4 Os 2.62

=====

6.
# Rb2LiSbF6

A geometry-optimized Rb2LiSbF6 structure (PBEsol, Alexandria via LeMat-Bulk).

Summary:
total DFT energy (no corrections): -46.7 eV/cell
crystal system: cubic

Cell lengths 6.0460, 6.0460, 6.0460 Å; angles 60.00, 60.00, 60.00 degrees
Closest atoms and distances in Å follow each position.
Positions (direct):
Rb  0.2500  0.2500  0.2500  12 F 3.02
Rb  0.7500  0.7500  0.7500  12 F 3.02
Li  0.0000  0.0000  0.0000  6 F 2.09
Sb  0.5000  0.5000  0.5000  6 F 2.19
F  0.2440  0.2440  0.7560  1 Li 2.09, 1 Sb 2.19
F  0.2440  0.7560  0.2440  1 Li 2.09, 1 Sb 2.19
F  0.2440  0.7560  0.7560  1 Li 2.09, 1 Sb 2.19
F  0.7560  0.2440  0.2440  1 Li 2.09, 1 Sb 2.19
F  0.7560  0.2440  0.7560  1 Li 2.09, 1 Sb 2.19
F  0.7560  0.7560  0.2440  1 Li 2.09, 1 Sb 2.19

=====

7.
# HfB2Ru

A geometry-optimized HfB2Ru structure (PBEsol, Alexandria via LeMat-Bulk).

Summary:
total DFT energy (no corrections): -35.3 eV/cell
crystal system: cubic
ΔH_f (0 K): -145 meV/atom

Cell lengths 3.9618, 3.9618, 3.9618 Å; angles 60.00, 60.00, 60.00 degrees
Closest atoms and distances in Å follow each position.
Positions (direct):
Hf  0.0000  0.0000  0.0000  8 B 2.43
B  0.2500  0.2500  0.2500  4 Ru 2.43, 4 Hf 2.43
B  0.7500  0.7500  0.7500  4 Ru 2.43, 4 Hf 2.43
Ru  0.5000  0.5000  0.5000  8 B 2.43

=====

8.
# MgBe2In2

A geometry-optimized MgBe2In2 structure (PBEsol, Alexandria via LeMat-Bulk).

Summary:
total DFT energy (no corrections): -14.1 eV/cell
crystal system: tetragonal
ΔH_f (0 K): 318 meV/atom

Cell lengths 6.5721, 6.5721, 6.5721 Å; angles 145.83, 145.83, 49.11 degrees
Closest atoms and distances in Å follow each position.
Positions (direct):
Mg  0.0000  0.0000  0.0000  8 In 3.07
Be  0.2500  0.7500  0.5000  4 In 2.50, 4 Be 2.73
Be  0.7500  0.2500  0.5000  4 In 2.50, 4 Be 2.73
In  0.3822  0.3822  0.0000  4 Be 2.50
In  0.6178  0.6178  0.0000  4 Be 2.50

=====

9.
# MnSe2Br

A geometry-optimized MnSe2Br structure (PBEsol, Alexandria via LeMat-Bulk).

Summary:
total DFT energy (no corrections): -19.6 eV/cell
crystal system: tetragonal

Cell lengths 2.8950, 2.8950, 9.5623 Å; angles 90.00, 90.00, 90.00 degrees
Closest atoms and distances in Å follow each position.
Positions (direct):
Mn  0.0000  0.0000  0.0000  8 Se 2.52
Se  0.5000  0.5000  0.1541  4 Mn 2.52
Se  0.5000  0.5000  0.8459  4 Mn 2.52
Br  0.0000  0.0000  0.5000  4 Br 2.89

=====

10.
# Cd2SbSe

A geometry-optimized Cd2SbSe structure (PBEsol, Alexandria via LeMat-Bulk).

Summary:
total DFT energy (no corrections): -10.8 eV/cell
crystal system: trigonal

Cell lengths 8.0134, 8.0134, 8.0134 Å; angles 27.35, 27.35, 27.35 degrees
Closest atoms and distances in Å follow each position.
Positions (direct):
Cd  0.0000  0.0000  0.0000  3 Se 2.82, 3 Cd 2.92
Cd  0.2497  0.2497  0.2497  3 Cd 2.92, 3 Sb 3.02
Sb  0.4932  0.4932  0.4932  3 Se 2.91, 3 Cd 3.02
Se  0.7435  0.7435  0.7435  3 Cd 2.82, 3 Sb 2.91

=====

11.
# LiNi6Ru

A geometry-optimized LiNi6Ru structure (PBEsol, Alexandria via LeMat-Bulk).

Summary:
total DFT energy (no corrections): -194.5 eV/cell
crystal system: orthorhombic
ΔH_f (0 K): 59 meV/atom

Cell lengths 6.0751, 6.0751, 9.9263 Å; angles 90.00, 90.00, 109.57 degrees
Closest atoms and distances in Å follow each position.
Positions (direct):
Li  0.0000  0.0000  0.2477  12 Ni 2.46-2.50
Li  0.0000  0.0000  0.7523  12 Ni 2.46-2.50
Li  0.2545  0.7455  0.0000  12 Ni 2.44-2.53
Li  0.7455  0.2545  0.0000  12 Ni 2.44-2.53
Ni  0.0000  0.0000  0.0000  4 Li 2.46-2.53, 8 Ni 2.46
Ni  0.0000  0.0000  0.5000  2 Ru 2.46, 8 Ni 2.49, 2 Li 2.50
Ni  0.1226  0.3725  0.1237  8 Ni 2.46-2.49, 3 Li 2.46-2.48, 1 Ru 2.46
Ni  0.1226  0.3725  0.8763  8 Ni 2.46-2.49, 3 Li 2.46-2.48, 1 Ru 2.46
Ni  0.1255  0.3751  0.3735  8 Ni 2.47-2.51, 3 Ru 2.48-2.50, 1 Li 2.48
Ni  0.1255  0.3751  0.6265  8 Ni 2.47-2.51, 3 Ru 2.48-2.50, 1 Li 2.48
Ni  0.2505  0.7495  0.2491  8 Ni 2.47-2.49, 2 Li 2.47-2.49, 2 Ru 2.48-2.49
Ni  0.2505  0.7495  0.7509  8 Ni 2.47-2.49, 2 Li 2.47-2.49, 2 Ru 2.48-2.49
Ni  0.3725  0.1226  0.1237  8 Ni 2.46-2.49, 3 Li 2.46-2.48, 1 Ru 2.46
Ni  0.3725  0.1226  0.8763  8 Ni 2.46-2.49, 3 Li 2.46-2.48, 1 Ru 2.46
Ni  0.3751  0.1255  0.3735  8 Ni 2.47-2.51, 3 Ru 2.48-2.50, 1 Li 2.48
Ni  0.3751  0.1255  0.6265  8 Ni 2.47-2.51, 3 Ru 2.48-2.50, 1 Li 2.48
Ni  0.5000  0.5000  0.0000  2 Ru 2.41, 2 Li 2.44, 8 Ni 2.48
Ni  0.5000  0.5000  0.5000  8 Ni 2.48, 4 Ru 2.50-2.55
Ni  0.6249  0.8745  0.3735  8 Ni 2.47-2.51, 3 Ru 2.48-2.50, 1 Li 2.48
Ni  0.6249  0.8745  0.6265  8 Ni 2.47-2.51, 3 Ru 2.48-2.50, 1 Li 2.48
Ni  0.6275  0.8774  0.1237  8 Ni 2.46-2.49, 3 Li 2.46-2.48, 1 Ru 2.46
Ni  0.6275  0.8774  0.8763  8 Ni 2.46-2.49, 3 Li 2.46-2.48, 1 Ru 2.46
Ni  0.7495  0.2505  0.2491  8 Ni 2.47-2.49, 2 Li 2.47-2.49, 2 Ru 2.48-2.49
Ni  0.7495  0.2505  0.7509  8 Ni 2.47-2.49, 2 Li 2.47-2.49, 2 Ru 2.48-2.49
Ni  0.8745  0.6249  0.3735  8 Ni 2.47-2.51, 3 Ru 2.48-2.50, 1 Li 2.48
Ni  0.8745  0.6249  0.6265  8 Ni 2.47-2.51, 3 Ru 2.48-2.50, 1 Li 2.48
Ni  0.8774  0.6275  0.1237  8 Ni 2.46-2.49, 3 Li 2.46-2.48, 1 Ru 2.46
Ni  0.8774  0.6275  0.8763  8 Ni 2.46-2.49, 3 Li 2.46-2.48, 1 Ru 2.46
Ru  0.2478  0.7522  0.5000  12 Ni 2.46-2.50
Ru  0.5000  0.5000  0.2430  12 Ni 2.41-2.55
Ru  0.5000  0.5000  0.7570  12 Ni 2.41-2.55
Ru  0.7522  0.2478  0.5000  12 Ni 2.46-2.50

=====

12.
# K2AlRe

A geometry-optimized K2AlRe structure (PBEsol, Alexandria via LeMat-Bulk).

Summary:
total DFT energy (no corrections): -14.8 eV/cell
crystal system: tetragonal
ΔH_f (0 K): 1220 meV/atom

Cell lengths 3.8564, 3.8564, 5.7219 Å; angles 90.00, 90.00, 90.00 degrees
Closest atoms and distances in Å follow each position.
Positions (direct):
K  0.0000  0.5000  0.0000  4 K 2.73
K  0.5000  0.0000  0.0000  4 K 2.73
Al  0.0000  0.0000  0.5000  4 Re 2.73
Re  0.5000  0.5000  0.5000  4 Al 2.73